Computed, not measured: a geometry-optimized InMoP2O structure at the PBE with a Hubbard U level of DFT.

a b c (Å): 5.1225 5.1225 3.8485
angles (deg): 90.00 90.00 90.00
Site moments in Bohr magnetons follow the coordinates.
Fractional coordinates of all 5 atoms:
In1 0.5000 0.5000 0.5000  0.01
Mo1 0.0000 0.0000 0.0000  1.30
P1 0.0000 0.5000 0.0000  -0.12
O1 0.0000 0.0000 0.5000  -0.12
P2 0.5000 0.0000 0.0000  -0.12

Uncorrected energy   -25.72 eV for the cell shown
Crystal system   tetragonal
V   20.20 Å³ per atom